# 1
Here is a relaxed Cu2Ir crystal from the Alexandria database. Energies are from PBE-GGA.

POSCAR file:
```
Cu2Ir
1.0
4.4578 0.0000 0.0000
0.0000 4.4578 0.0000
0.0000 0.0000 2.5027
Cu Ir
2 1
direct
0.0000 0.5000 0.0000
0.5000 0.0000 0.0000
0.0000 0.0000 0.5000
```

Values from the calculation:
E above lowest polymorph in meV/atom: 281
Volume in Å³ per atom: 16.578
Energy relative to the elements in kJ/mol of atoms: 32.1
Fermi-level density of states in states/eV/atom: 0.31
Symmetry: P4/mmm

=====

# 2
Here is a relaxed LiSnBr5 crystal from the Alexandria database. Energies are from PBE-GGA.

POSCAR file:
```
LiSnBr5
1.0
8.6586 0.0000 0.0000
-2.4248 8.3274 0.0000
-2.3692 -3.1493 8.0355
Li Sn Br
2 2 10
direct
0.0000 0.0000 0.0000
0.0000 0.0000 0.5000
0.3511 0.6490 0.2503
0.6489 0.3510 0.7497
0.0671 0.9349 0.7506
0.1494 0.6540 0.4027
0.2611 0.3539 0.0395
0.3455 0.8502 0.0977
0.3531 0.2605 0.5384
0.6469 0.7395 0.4616
0.6545 0.1498 0.9023
0.7389 0.6461 0.9605
0.8506 0.3460 0.5973
0.9329 0.0651 0.2494
```

Values from the calculation:
Energy relative to the elements, uncorrected in eV/f.u.: -5.89
Volume in Å³ per atom: 41.385
Fermi-level density of states in states/eV/atom: 0.00
Symmetry: P-1

=====

# 3
Here is a relaxed Sr2Al2Te crystal from the Alexandria database. Energies are from PBE-GGA.

POSCAR file:
```
Sr2Al2Te
1.0
8.0097 0.0000 0.0000
0.0000 8.0097 0.0000
0.0000 0.0000 4.8000
Sr Al Te
4 4 2
direct
0.1759 0.3241 0.0000
0.3241 0.8241 0.0000
0.6759 0.1759 0.0000
0.8241 0.6759 0.0000
0.1164 0.6164 0.5000
0.3836 0.1164 0.5000
0.6164 0.8836 0.5000
0.8836 0.3836 0.5000
0.0000 0.0000 0.5000
0.5000 0.5000 0.5000
```

Values from the calculation:
Energy relative to the elements, uncorrected in eV/f.u.: -1.79
Volume in Å³ per atom: 30.794
Fermi-level density of states in states/eV/atom: 0.53
Symmetry: P4/mbm

=====

# 4
Here is a relaxed GaPCl crystal from the Alexandria database. Energies are from PBE-GGA.

POSCAR file:
```
GaPCl
1.0
4.1070 0.0000 0.0000
-1.6506 5.1459 0.0000
-0.2592 -0.2787 5.7423
Ga P Cl
2 2 2
direct
0.0000 0.0000 0.0000
0.5000 0.5000 0.5000
0.0243 0.8364 0.6037
0.9757 0.1636 0.3963
0.3735 0.7122 0.1145
0.6265 0.2878 0.8855
```

Values from the calculation:
Energy relative to the elements, uncorrected in eV/f.u.: -1.22
E above lowest polymorph in meV/atom: 229
Volume in Å³ per atom: 20.226
Symmetry: P-1

=====

# 5
Here is a relaxed Sr2TcPb crystal from the Alexandria database. Energies are from PBE-GGA.

POSCAR file:
```
Sr2TcPb
1.0
5.0325 0.0000 0.0000
0.0000 5.0325 0.0000
0.0000 0.0000 4.6829
Sr Tc Pb
2 1 1
direct
0.0000 0.5000 0.0000
0.5000 0.0000 0.0000
0.0000 0.0000 0.5000
0.5000 0.5000 0.5000
```

Values from the calculation:
Volume in Å³ per atom: 29.650
Energy relative to the elements in kJ/mol of atoms: 42.2
Fermi-level density of states in states/eV/atom: 1.18
Symmetry: P4/mmm